No. 1
TcBr | PBE | optimized geometry

Properties
Total magnetization, μB per formula unit: 0.00
ΔE_f (raw), eV/atom: 0.10
Symmetry: No. 164

Cell lengths 3.434, 3.434, 9.047 Å; angles 90.00, 90.00, 120.00 degrees
Fractional positions:
Br: 0.000 0.000 0.915
Br: 0.667 0.333 0.335
Tc: 0.667 0.333 0.704
Tc: 0.000 0.000 0.546



No. 2
CeEr2In | PBE | optimized geometry

Properties
Total magnetization, μB per formula unit: 0.22
DFT formation energy, kJ/mol of formula units: -24
Symmetry: No. 225

Cell lengths 5.362, 5.362, 5.362 Å; angles 60.00, 60.00, 60.00 degrees
Last column: magnetic moment on the atom in μB.
Fractional positions:
In: 0.500 0.500 0.500  -0.01
Er: 0.750 0.750 0.750  0.03
Er: 0.250 0.250 0.250  0.03
Ce: 0.000 0.000 0.000  0.12



No. 3
PrLuCuPt | PBE | optimized geometry

Properties
Total magnetization, μB per formula unit: 0.00
DFT formation energy, kJ/mol of formula units: -268
Symmetry: No. 216

Cell lengths 4.986, 4.986, 4.986 Å; angles 60.00, 60.00, 60.00 degrees
Fractional positions:
Cu: 0.250 0.250 0.250
Pt: 0.750 0.750 0.750
Pr: 0.500 0.500 0.500
Lu: 0.000 0.000 0.000



No. 4
K2CoAu2 | PBE | optimized geometry

Properties
Total magnetization, μB per formula unit: 1.49
DFT formation energy, kJ/mol of formula units: 89
Symmetry: No. 127

Cell lengths 6.787, 6.787, 5.450 Å; angles 90.00, 90.00, 90.00 degrees
Last column: magnetic moment on the atom in μB.
Fractional positions:
Co: 0.500 0.500 0.000  1.69
Co: 0.000 0.000 0.000  1.69
K: 0.826 0.326 0.500  -0.01
K: 0.174 0.674 0.500  -0.01
K: 0.326 0.174 0.500  -0.01
K: 0.674 0.826 0.500  -0.01
Au: 0.851 0.649 0.000  0.02
Au: 0.649 0.149 0.000  0.03
Au: 0.149 0.351 0.000  0.02
Au: 0.351 0.851 0.000  0.03



No. 5
LaDy3Ga2 | PBE | optimized geometry

Properties
Total magnetization, μB per formula unit: 0.00
DFT formation energy, kJ/mol of formula units: -236
Symmetry: No. 26

Cell lengths 5.023, 6.618, 9.642 Å; angles 90.00, 90.00, 90.00 degrees
Fractional positions:
Dy: 0.000 0.329 0.311
Dy: 0.500 0.171 0.828
Dy: 0.000 0.829 0.689
Dy: 0.500 0.671 0.172
Dy: 0.000 0.966 0.054
Dy: 0.000 0.466 0.946
La: 0.500 0.040 0.452
La: 0.500 0.540 0.548
Ga: 0.000 0.784 0.353
Ga: 0.500 0.711 0.862
Ga: 0.500 0.211 0.138
Ga: 0.000 0.284 0.647



No. 6
BaNbMo3 | PBE | optimized geometry

Properties
Total magnetization, μB per formula unit: 0.00
DFT formation energy, kJ/mol of formula units: 760
Symmetry: No. 221

Cell lengths 4.976, 4.976, 4.976 Å; angles 90.00, 90.00, 90.00 degrees
Fractional positions:
Ba: 0.500 0.500 0.500
Mo: 0.000 0.500 0.000
Mo: 0.000 0.000 0.500
Mo: 0.500 0.000 0.000
Nb: 0.000 0.000 0.000



No. 7
SrYAg2 | PBE | optimized geometry

Properties
Total magnetization, μB per formula unit: 0.00
DFT formation energy, kJ/mol of formula units: 11
Symmetry: No. 216

Cell lengths 5.171, 5.171, 5.171 Å; angles 60.00, 60.00, 60.00 degrees
Fractional positions:
Ag: 0.000 0.000 0.000
Ag: 0.250 0.250 0.250
Y: 0.750 0.750 0.750
Sr: 0.500 0.500 0.500



No. 8
KNa2Sn2 | PBE | optimized geometry

Properties
Total magnetization, μB per formula unit: 0.00
DFT formation energy, kJ/mol of formula units: -70
Symmetry: No. 127

Cell lengths 9.288, 9.288, 3.558 Å; angles 90.00, 90.00, 90.00 degrees
Fractional positions:
Na: 0.677 0.177 0.000
Na: 0.823 0.677 0.000
Na: 0.323 0.823 0.000
Na: 0.177 0.323 0.000
K: 0.500 0.500 0.000
K: 0.000 0.000 0.000
Sn: 0.613 0.887 0.500
Sn: 0.113 0.613 0.500
Sn: 0.887 0.387 0.500
Sn: 0.387 0.113 0.500



DOS at the Fermi energy across the listed records, respectively: 0.146, 6.015, 1.600, 9.027, 12.134, 6.640, 2.613, 2.647 states/eV/cell.